1.
Computed, not measured: YNiBr2 after structural relaxation at the PBE level of DFT.

- formation energy without anion corrections (meV/atom) = -302
- energy above the most stable polymorph in this dataset (meV/atom) = 558
- N(E_F) (states/eV/cell) = 8.05

abc: 3.5860 6.6362 8.2132
angles: 90.00 90.00 90.00
Space group Cmmm (No. 65)
Unique sites:
Y (0.0000, 0.0000, 0.0000) (multiplicity 2)
Ni (0.0000, 0.0000, 0.5000) (multiplicity 2)
Br (0.0000, 0.5000, 0.2893) (multiplicity 4)

---

2.
Computed, not measured: Y2Ni2Br after structural relaxation at the PBE level of DFT.

- formation energy without anion corrections (meV/atom) = -464
- N(E_F) (states/eV/cell) = 7.54

abc: 7.6744 7.6744 3.5141
angles: 90.00 90.00 90.00
Space group P4/mbm (No. 127)
Unique sites:
Y (0.1710, 0.3290, 0.0000) (multiplicity 4)
Ni (0.1143, 0.6143, 0.5000) (multiplicity 4)
Br (0.0000, 0.0000, 0.5000) (multiplicity 2)

---

3.
Computed, not measured: YNiBr2 after structural relaxation at the PBE level of DFT.

- formation energy without anion corrections (meV/atom) = -300
- energy above the most stable polymorph in this dataset (meV/atom) = 560
- N(E_F) (states/eV/cell) = 21.41

abc: 3.7896 3.7896 25.2267
angles: 90.00 90.00 120.00
Space group R-3m (No. 166, hexagonal axes)
Unique sites:
Y (0.0000, 0.0000, 0.0000) (multiplicity 3)
Ni (0.0000, 0.0000, 0.5000) (multiplicity 3)
Br (0.0000, 0.0000, 0.1112) (multiplicity 6)

---

4.
Computed, not measured: YNi2Br2 after structural relaxation at the PBE level of DFT.

- formation energy without anion corrections (meV/atom) = -182
- energy above the most stable polymorph in this dataset (meV/atom) = 0
- N(E_F) (states/eV/cell) = 4.96

abc: 6.8888 6.8888 4.4617
angles: 90.00 90.00 90.00
Space group P4/mbm (No. 127)
Unique sites:
Y (0.0000, 0.0000, 0.0000) (multiplicity 2)
Ni (0.1237, 0.3763, 0.0000) (multiplicity 4)
Br (0.1995, 0.3005, 0.5000) (multiplicity 4)

---

5.
Computed, not measured: Y7NiBr12 after structural relaxation at the PBE level of DFT.

- formation energy without anion corrections (meV/atom) = -1576
- N(E_F) (states/eV/cell) = 11.75

abc: 14.7917 14.7917 10.0712
angles: 90.00 90.00 120.00
Space group R-3 (No. 148, hexagonal axes)
Unique sites:
Y (0.0000, 0.0000, 0.0000) (multiplicity 3)
Y (0.0430, 0.1619, 0.3505) (multiplicity 18)
Ni (0.0000, 0.0000, 0.5000) (multiplicity 3)
Br (0.0218, 0.5845, 0.1584) (multiplicity 18)
Br (0.0490, 0.1792, 0.8407) (multiplicity 18)

---

6.
Computed, not measured: YNiBr2 after structural relaxation at the PBE level of DFT.

- formation energy without anion corrections (meV/atom) = -704
- energy above the most stable polymorph in this dataset (meV/atom) = 155
- N(E_F) (states/eV/cell) = 2.68

abc: 3.9234 4.0827 15.2917
angles: 90.00 90.00 90.00
Space group Immm (No. 71)
Unique sites:
Y (0.0000, 0.0000, 0.0000) (multiplicity 2)
Ni (0.0000, 0.0000, 0.5000) (multiplicity 2)
Br (0.0000, 0.5000, 0.3655) (multiplicity 4)

---

7.
Computed, not measured: YNiBr2 after structural relaxation at the PBE level of DFT.

- formation energy without anion corrections (meV/atom) = -475
- energy above the most stable polymorph in this dataset (meV/atom) = 384
- N(E_F) (states/eV/cell) = 3.48

abc: 3.5822 3.7722 6.4700
angles: 90.00 105.11 90.00
Space group P2/m (No. 10)
Unique sites:
Y (0.0000, 0.0000, 0.0000) (multiplicity 1)
Ni (0.5000, 0.0000, 0.5000) (multiplicity 1)
Br (0.4134, 0.5000, 0.7398) (multiplicity 2)

---

8.
Computed, not measured: YNiBr after structural relaxation at the PBE level of DFT.

- formation energy without anion corrections (meV/atom) = -264

abc: 6.7088 6.7088 6.7088
angles: 90.00 90.00 90.00
Space group F-43m (No. 216)
Unique sites:
Y (0.0000, 0.0000, 0.0000) (multiplicity 4)
Ni (0.2500, 0.2500, 0.2500) (multiplicity 4)
Br (0.2500, 0.2500, 0.7500) (multiplicity 4)